No. 1
Co2Sb2C | PBE-GGA | relaxed

Unit cell a=6.6934 b=6.6934 c=3.5023 alpha=90.00 beta=90.00 gamma=90.00
Closest atoms and distances in Å follow each position.
Sites, in units of the cell vectors:
Co 0.6297 0.8703 0.5000  1 Co 2.45, 6 Sb 2.57-2.69
Co 0.1297 0.6297 0.5000  1 Co 2.45, 6 Sb 2.57-2.69
Co 0.8703 0.3703 0.5000  1 Co 2.45, 6 Sb 2.57-2.69
Co 0.3703 0.1297 0.5000  1 Co 2.45, 6 Sb 2.57-2.69
Sb 0.1715 0.3285 0.0000  2 C 2.48, 6 Co 2.57-2.69
Sb 0.8285 0.6715 0.0000  2 C 2.48, 6 Co 2.57-2.69
Sb 0.3285 0.8285 0.0000  2 C 2.48, 6 Co 2.57-2.69
Sb 0.6715 0.1715 0.0000  2 C 2.48, 6 Co 2.57-2.69
C 0.0000 0.0000 0.0000  4 Sb 2.48
C 0.5000 0.5000 0.0000  4 Sb 2.48

Computed properties:
E_form (uncorrected) ... 1.2061 eV/atom
Relative energy among the computed polymorphs ... 0.0848 eV per atom

=====

No. 2
RbNiBr2Cl | PBE-GGA | relaxed

Unit cell a=5.1242 b=5.1242 c=4.8042 alpha=90.00 beta=90.00 gamma=90.00
Closest atoms and distances in Å follow each position.
Sites, in units of the cell vectors:
Br 0.0000 0.5000 0.0000  2 Ni 2.56
Br 0.5000 0.0000 0.0000  2 Ni 2.56
Rb 0.5000 0.5000 0.5000  8 Br 3.51, 4 Cl 3.62
Ni 0.0000 0.0000 0.0000  2 Cl 2.40, 4 Br 2.56
Cl 0.0000 0.0000 0.5000  2 Ni 2.40

Computed properties:
E_form (uncorrected) ... -0.8964 eV/atom

=====

No. 3
Pm6Sm2Si | PBE-GGA | relaxed

Unit cell a=3.6363 b=3.6363 c=25.7751 alpha=90.00 beta=90.00 gamma=120.00
Closest atoms and distances in Å follow each position.
Sites, in units of the cell vectors:
Pm 0.3333 0.6667 0.2040  9 Pm 3.64-3.71, 3 Sm 3.65
Pm 0.6667 0.3333 0.0851  3 Si 3.04
Pm 0.3333 0.6667 0.7960  9 Pm 3.64-3.71, 3 Sm 3.65
Pm 0.6667 0.3333 0.9149  3 Si 3.04
Pm 0.3333 0.6667 0.5681  7 Pm 3.51-3.64, 3 Sm 3.57
Pm 0.3333 0.6667 0.4319  7 Pm 3.51-3.64, 3 Sm 3.57
Sm 0.6667 0.3333 0.6800  6 Pm 3.57-3.65, 6 Sm 3.64
Sm 0.6667 0.3333 0.3200  6 Pm 3.57-3.65, 6 Sm 3.64
Si 0.3333 0.6667 0.0000  6 Pm 3.04

Computed properties:
E_form (uncorrected) ... 0.0208 eV/atom

=====

No. 4
InCu2I6 | PBE-GGA | relaxed

Unit cell a=7.2511 b=10.9238 c=10.9238 alpha=89.23 beta=72.20 gamma=72.20
Closest atoms and distances in Å follow each position.
Sites, in units of the cell vectors:
I 0.0862 0.7823 0.0008  1 Cu 2.67, 1 In 2.79
I 0.9138 0.2177 0.9992  1 Cu 2.67, 1 In 2.79
I 0.8940 0.8015 0.4193  1 Cu 2.64, 1 In 2.78
I 0.1901 0.3892 0.2361  2 Cu 2.55-2.57
I 0.4138 0.9992 0.2177  1 Cu 2.67, 1 In 2.79
I 0.5862 0.0008 0.7823  1 Cu 2.67, 1 In 2.79
I 0.3940 0.4193 0.8015  1 Cu 2.64, 1 In 2.78
I 0.6060 0.5807 0.1985  1 Cu 2.64, 1 In 2.78
I 0.8099 0.6108 0.7639  2 Cu 2.55-2.57
I 0.1060 0.1985 0.5807  1 Cu 2.64, 1 In 2.78
I 0.6901 0.2361 0.3892  2 Cu 2.55-2.57
I 0.3099 0.7639 0.6108  2 Cu 2.55-2.57
Cu 0.6306 0.7876 0.6439  4 I 2.55-2.67
Cu 0.8694 0.3561 0.2124  4 I 2.55-2.67
Cu 0.1306 0.6439 0.7876  4 I 2.55-2.67
Cu 0.3694 0.2124 0.3561  4 I 2.55-2.67
In 0.7500 0.7870 0.2130  4 I 2.78-2.79
In 0.2500 0.2130 0.7870  4 I 2.78-2.79

Computed properties:
E_form (uncorrected) ... -0.2751 eV/atom

=====

No. 5
BaTh | PBE-GGA | relaxed

Unit cell a=3.7277 b=3.7277 c=6.6768 alpha=90.00 beta=90.00 gamma=120.00
Closest atoms and distances in Å follow each position.
Sites, in units of the cell vectors:
Ba 0.6667 0.3333 0.7500  6 Ba 3.73, 6 Th 3.97
Th 0.3333 0.6667 0.2500  6 Th 3.73, 6 Ba 3.97

Computed properties:
Energy of formation ... 0.4449 eV per atom

=====

No. 6
Re3PbO | PBE-GGA | relaxed

Unit cell a=5.2127 b=5.2127 c=5.2127 alpha=90.00 beta=90.00 gamma=90.00
Closest atoms and distances in Å follow each position.
Sites, in units of the cell vectors:
Re 0.0000 0.5000 0.0000  2 Pb 2.61
Re 0.5000 0.0000 0.0000  2 Pb 2.61
Re 0.0000 0.0000 0.5000  2 Pb 2.61
Pb 0.0000 0.0000 0.0000  6 Re 2.61
O 0.5000 0.5000 0.5000  12 Re 3.69

Computed properties:
E_form (uncorrected) ... 3.9028 eV/atom
Relative energy among the computed polymorphs ... 2.9155 eV per atom

=====

No. 7
PmPr2MnN4 | PBE-GGA | relaxed

Unit cell a=3.5071 b=6.1844 c=12.2392 alpha=90.00 beta=90.00 gamma=106.47
Closest atoms and distances in Å follow each position.
Sites, in units of the cell vectors:
N 0.2753 0.5505 0.3617  1 Mn 1.88
N 0.0000 0.0000 0.0000  4 Pr 2.41
N 0.0000 0.0000 0.5000  4 Pr 2.41
N 0.7247 0.4495 0.6383  1 Mn 1.88
N 0.4206 0.8411 0.7500  2 Mn 2.04
N 0.5794 0.1589 0.2500  2 Mn 2.04
N 0.2753 0.5505 0.1383  1 Mn 1.88
N 0.7247 0.4495 0.8617  1 Mn 1.88
Mn 0.8333 0.6666 0.7500  4 N 1.88-2.04
Mn 0.1667 0.3334 0.2500  4 N 1.88-2.04
Pm 0.8928 0.7856 0.2500  6 N 2.62-2.82
Pm 0.1072 0.2144 0.7500  6 N 2.62-2.82
Pr 0.6318 0.2637 0.0451  6 N 2.41-2.70
Pr 0.6318 0.2637 0.4549  6 N 2.41-2.70
Pr 0.3682 0.7363 0.5451  6 N 2.41-2.70
Pr 0.3682 0.7363 0.9549  6 N 2.41-2.70

Computed properties:
E_form (uncorrected) ... -0.9262 eV/atom

=====

No. 8
LiBeAg | PBE-GGA | relaxed

Unit cell a=4.1099 b=4.1099 c=4.1099 alpha=60.00 beta=60.00 gamma=60.00
Closest atoms and distances in Å follow each position.
Sites, in units of the cell vectors:
Be 0.0000 0.0000 0.0000  4 Ag 2.52
Ag 0.7500 0.7500 0.7500  4 Li 2.52, 4 Be 2.52
Li 0.5000 0.5000 0.5000  4 Ag 2.52

Computed properties:
Energy of formation ... 0.3850 eV per atom
Relative energy among the computed polymorphs ... 0.2870 eV per atom

=====

No. 9
Na2PaTlF8 | PBE-GGA | relaxed

Unit cell a=5.6403 b=5.6403 c=8.8569 alpha=90.00 beta=90.00 gamma=120.00
Closest atoms and distances in Å follow each position.
Sites, in units of the cell vectors:
F 0.6648 0.8324 0.8506  1 Pa 2.11, 1 Na 2.27
F 0.8324 0.1676 0.1494  1 Pa 2.11, 1 Na 2.27
F 0.8324 0.6648 0.1494  1 Pa 2.11, 1 Na 2.27
F 0.3352 0.1676 0.1494  1 Pa 2.11, 1 Na 2.27
F 0.1676 0.8324 0.8506  1 Pa 2.11, 1 Na 2.27
F 0.1676 0.3352 0.8506  1 Pa 2.11, 1 Na 2.27
F 0.6667 0.3333 0.5676  1 Na 2.12
F 0.3333 0.6667 0.4324  1 Na 2.12
Tl 0.0000 0.0000 0.5000  12 F 3.31-3.51, 6 Na 3.59
Na 0.6667 0.3333 0.3284  4 F 2.12-2.27
Na 0.3333 0.6667 0.6716  4 F 2.12-2.27
Pa 0.0000 0.0000 0.0000  6 F 2.11

Computed properties:
E_form (uncorrected) ... -2.9830 eV/atom

=====

No. 10
Pr4Y8Mg | PBE-GGA | relaxed

Unit cell a=11.0887 b=11.0887 c=7.8318 alpha=90.00 beta=135.07 gamma=120.00
Closest atoms and distances in Å follow each position.
Sites, in units of the cell vectors:
Mg 0.0000 0.5000 0.5000  8 Y 3.47-3.48
Y 0.5145 0.7572 0.7590  4 Pr 3.30-3.42, 1 Mg 3.48
Y 0.9982 0.2428 0.2410  4 Pr 3.30-3.42, 1 Mg 3.48
Y 0.0018 0.2445 0.7590  4 Pr 3.30-3.42, 1 Mg 3.48
Y 0.4866 0.2433 0.7298  4 Pr 3.29-3.43, 1 Mg 3.47
Y 0.4855 0.2428 0.2410  4 Pr 3.30-3.42, 1 Mg 3.48
Y 0.9982 0.7555 0.2410  4 Pr 3.30-3.42, 1 Mg 3.48
Y 0.0018 0.7572 0.7590  4 Pr 3.30-3.42, 1 Mg 3.48
Y 0.5134 0.7567 0.2702  4 Pr 3.29-3.43, 1 Mg 3.47
Pr 0.0000 0.5000 0.0000  8 Y 3.42-3.43
Pr 0.5000 0.0000 0.0000  8 Y 3.42-3.43
Pr 0.5000 0.5000 0.0000  8 Y 3.42-3.43
Pr 0.0000 0.0000 0.0000  8 Y 3.29-3.30

Computed properties:
Energy of formation ... 0.5532 eV per atom

=====

No. 11
Sr2EuCu3Pb2O8 | PBE-GGA | relaxed

Unit cell a=3.8425 b=3.8425 c=16.1320 alpha=90.00 beta=90.00 gamma=90.00
Closest atoms and distances in Å follow each position.
Sites, in units of the cell vectors:
Eu 0.0000 0.0000 0.0000  8 O 2.49
Pb 0.5000 0.5000 0.6119  1 O 2.18
Pb 0.5000 0.5000 0.3881  1 O 2.18
Sr 0.0000 0.0000 0.2223  9 O 2.62-2.78
Sr 0.0000 0.0000 0.7777  9 O 2.62-2.78
O 0.0000 0.0000 0.6152  1 Cu 1.86
O 0.5000 0.5000 0.7470  1 Pb 2.18, 1 Cu 2.33
O 0.5000 0.0000 0.0978  2 Cu 1.93
O 0.0000 0.5000 0.9022  2 Cu 1.93
O 0.5000 0.5000 0.2530  1 Pb 2.18, 1 Cu 2.33
O 0.0000 0.0000 0.3848  1 Cu 1.86
O 0.5000 0.0000 0.9022  2 Cu 1.93
O 0.0000 0.5000 0.0978  2 Cu 1.93
Cu 0.5000 0.5000 0.8912  4 O 1.93
Cu 0.0000 0.0000 0.5000  2 O 1.86
Cu 0.5000 0.5000 0.1088  4 O 1.93

Computed properties:
E_form (uncorrected) ... -1.6009 eV/atom

=====

No. 12
Li2CrSi | PBE-GGA | relaxed

Unit cell a=5.0462 b=5.0462 c=2.4680 alpha=90.00 beta=90.00 gamma=123.33
Closest atoms and distances in Å follow each position.
Sites, in units of the cell vectors:
Si 0.5000 0.0000 0.5000  2 Cr 2.40, 2 Si 2.47
Cr 0.0000 0.5000 0.5000  2 Si 2.40, 2 Cr 2.47
Li 0.5000 0.5000 0.0000  4 Li 2.40-2.47
Li 0.0000 0.0000 0.0000  4 Li 2.40-2.47

Computed properties:
E_form (uncorrected) ... 0.2302 eV/atom

=====

No. 13
BeHg2P | PBE-GGA | relaxed

Unit cell a=3.5884 b=5.8436 c=3.8057 alpha=90.00 beta=90.00 gamma=90.00
Closest atoms and distances in Å follow each position.
Sites, in units of the cell vectors:
Hg 0.5000 0.5000 0.0000  4 Be 2.62
Hg 0.0000 0.0000 0.0000  4 P 2.62
P 0.5000 0.0000 0.5000  4 Hg 2.62
Be 0.0000 0.5000 0.5000  4 Hg 2.62

Computed properties:
Energy of formation ... 0.6536 eV per atom
Relative energy among the computed polymorphs ... 0.6295 eV per atom

=====

No. 14
NaLiI2 | PBE-GGA | relaxed

Unit cell a=3.9654 b=3.9654 c=7.9523 alpha=90.00 beta=90.00 gamma=90.00
Closest atoms and distances in Å follow each position.
Sites, in units of the cell vectors:
I 0.0000 0.0000 0.2426  4 Li 3.40, 4 Na 3.47
I 0.0000 0.0000 0.7574  4 Li 3.40, 4 Na 3.47
Li 0.5000 0.5000 0.0000  8 I 3.40
Na 0.5000 0.5000 0.5000  8 I 3.47

Computed properties:
E_form (uncorrected) ... -0.9965 eV/atom
Relative energy among the computed polymorphs ... 0.2150 eV per atom

=====

No. 15
VReSn2 | PBE-GGA | relaxed

Unit cell a=4.6609 b=4.6609 c=4.6609 alpha=60.00 beta=60.00 gamma=60.00
Closest atoms and distances in Å follow each position.
Sites, in units of the cell vectors:
Sn 0.7500 0.7500 0.7500  4 V 2.85, 4 Re 2.85
Sn 0.2500 0.2500 0.2500  4 Re 2.85, 4 V 2.85
Re 0.5000 0.5000 0.5000  8 Sn 2.85
V 0.0000 0.0000 0.0000  8 Sn 2.85

Computed properties:
Energy of formation ... 0.3674 eV per atom
Relative energy among the computed polymorphs ... 0.0000 eV per atom

=====

No. 16
NaLiAgBr3 | PBE-GGA | relaxed

Unit cell a=4.0237 b=7.9959 c=10.3464 alpha=104.25 beta=90.00 gamma=90.00
Closest atoms and distances in Å follow each position.
Sites, in units of the cell vectors:
Br 0.2500 0.7904 0.5067  3 Li 2.53-2.65
Br 0.2500 0.5573 0.8096  3 Ag 2.76-2.92, 2 Na 2.99
Br 0.7500 0.4427 0.1904  3 Ag 2.76-2.92, 2 Na 2.99
Br 0.2500 0.0977 0.8515  1 Li 2.54
Br 0.7500 0.2096 0.4933  3 Li 2.53-2.65
Br 0.7500 0.9023 0.1485  1 Li 2.54
Li 0.7500 0.8720 0.3871  4 Br 2.53-2.65
Li 0.2500 0.1280 0.6129  4 Br 2.53-2.65
Na 0.7500 0.8027 0.7481  6 Br 2.99-3.19
Na 0.2500 0.1973 0.2519  6 Br 2.99-3.19
Ag 0.2500 0.6382 0.0852  5 Br 2.76-2.92
Ag 0.7500 0.3618 0.9148  5 Br 2.76-2.92

Computed properties:
E_form (uncorrected) ... -1.0968 eV/atom

=====

No. 17
TcRu2PtN | PBE-GGA | relaxed

Unit cell a=4.0396 b=4.0396 c=4.0229 alpha=90.00 beta=90.00 gamma=90.00
Closest atoms and distances in Å follow each position.
Sites, in units of the cell vectors:
Ru 0.0000 0.5000 0.0000  2 N 2.02
Ru 0.5000 0.0000 0.0000  2 N 2.02
Tc 0.0000 0.0000 0.5000  2 N 2.01
N 0.0000 0.0000 0.0000  2 Tc 2.01, 4 Ru 2.02
Pt 0.5000 0.5000 0.5000  8 Ru 2.85, 4 Tc 2.86

Computed properties:
E_form (uncorrected) ... 0.1382 eV/atom

=====

No. 18
InSiSe2 | PBE-GGA | relaxed

Unit cell a=9.4268 b=9.4268 c=9.4268 alpha=21.65 beta=21.65 gamma=21.65
Closest atoms and distances in Å follow each position.
Sites, in units of the cell vectors:
Se 0.1148 0.1148 0.1148  3 Si 2.50
Se 0.8852 0.8852 0.8852  3 Si 2.50
Si 0.5000 0.5000 0.5000  6 Se 2.50
In 0.0000 0.0000 0.0000  2 Se 3.17, 6 In 3.54

Computed properties:
E_form (uncorrected) ... -0.2197 eV/atom

=====

No. 19
Nd3Mn4Sn4 | PBE-GGA | relaxed

Unit cell a=8.7254 b=8.7254 c=8.7254 alpha=149.38 beta=129.91 gamma=59.85
Closest atoms and distances in Å follow each position.
Sites, in units of the cell vectors:
Sn 0.2844 0.7844 0.5000  6 Mn 2.76-2.85
Sn 0.2004 0.5000 0.7004  2 Mn 2.76, 1 Sn 2.96
Sn 0.7156 0.2156 0.5000  6 Mn 2.76-2.85
Sn 0.7996 0.5000 0.2996  2 Mn 2.76, 1 Sn 2.96
Mn 0.1389 0.3261 0.8128  4 Sn 2.76-2.85, 1 Mn 2.77
Mn 0.4867 0.6739 0.8128  4 Sn 2.76-2.85, 1 Mn 2.77
Mn 0.5133 0.3261 0.1872  4 Sn 2.76-2.85, 1 Mn 2.77
Mn 0.8611 0.6739 0.1872  4 Sn 2.76-2.85, 1 Mn 2.77
Nd 0.8723 0.8723 0.0000  6 Mn 3.30-3.34, 6 Sn 3.30-3.35
Nd 0.5000 0.0000 0.5000  6 Sn 3.19-3.26
Nd 0.1277 0.1277 0.0000  6 Mn 3.30-3.34, 6 Sn 3.30-3.35

Computed properties:
Energy of formation ... -0.2888 eV per atom

=====

No. 20
Ho2GePb | PBE-GGA | relaxed

Unit cell a=3.4179 b=3.4179 c=8.5892 alpha=90.00 beta=90.00 gamma=90.00
Closest atoms and distances in Å follow each position.
Sites, in units of the cell vectors:
Ho 0.0000 0.0000 0.7803  4 Ge 3.07, 4 Pb 3.41, 4 Ho 3.42
Ho 0.0000 0.0000 0.2197  4 Ge 3.07, 4 Pb 3.41, 4 Ho 3.42
Pb 0.5000 0.5000 0.5000  8 Ho 3.41, 4 Pb 3.42
Ge 0.5000 0.5000 0.0000  8 Ho 3.07, 4 Ge 3.42

Computed properties:
Energy of formation ... -0.5332 eV per atom